Below is an optimized crystal structure of Mn3FeCu, with properties calculated at the GGA-PBE level.

a b c (Å): 4.284 4.284 4.284
angles (deg): 90.00 90.00 90.00
Each line ends with the local moment (μB).
Atoms (fractional coordinates):
1 Mn 0.000 0.500 0.000  2.91
2 Mn 0.000 0.000 0.500  2.70
3 Mn 0.500 0.000 0.000  2.76
4 Fe 0.000 0.000 0.000  -0.77
5 Cu 0.500 0.500 0.500  0.06

Results
- theoretical density (g/cm3) = 6.0
- relative energy among the computed polymorphs (meV/atom) = 0
- total moment (μB per cell) = 7.81
- total DFT energy (no corrections) (Ha/atom) = -0.2545
- calculated volume (Å³/atom) = 15.7